Compound: YTh2Ga6
Source: Alexandria
Functional: PBE
Structure: relaxed

ΔH_f (0 K) (eV/atom): -0.65
Crystal system: hexagonal
Total energy (eV per atom): -5.03

Lattice parameters (Å, degrees): 7.3753 7.3753 4.2102 90.00 90.00 120.00
Space group P6/mmm (No. 191)
Asymmetric unit:
Y 0.0000 0.0000 0.0000 (multiplicity 1)
Th 0.3333 0.6667 0.0000 (multiplicity 2)
Ga 0.0000 0.3320 0.5000 (multiplicity 6)

Compound: Sr2LiMgS
Source: Alexandria
Functional: PBE
Structure: relaxed

Crystal system: tetragonal
Total energy (eV per atom): -2.92
Formation energy without anion corrections (eV per atom): -0.72

Lattice parameters (Å, degrees): 5.925 5.925 4.680 90.00 90.00 90.00
Space group P4/mmm (No. 123)
Asymmetric unit:
Sr 0.000 0.500 0.000 (multiplicity 2)
Li 0.000 0.000 0.500 (multiplicity 1)
Mg 0.500 0.500 0.500 (multiplicity 1)
S 0.000 0.000 0.000 (multiplicity 1)

What is the total energy in the second record? -2.92 eV per atom